w.
# Tm2WO6 GGA-PBEsol relaxed
# magnetization = 0.00 μB per atom
data_Tm2WO6
_chemical_formula_sum 'Tm16 W8 O48'
_symmetry_space_group_name_H-M 'C 1 2/c 1'
_symmetry_Int_Tables_number 15
_cell_length_a 15.565
_cell_length_b 10.781
_cell_length_c 5.264
_cell_angle_alpha 90.00
_cell_angle_beta 105.20
_cell_angle_gamma 90.00
loop_
_symmetry_equiv_pos_as_xyz
'x,y,z'
'-x,-y,-z'
'-x,y,-z+1/2'
'x,-y,z+1/2'
'x+1/2,y+1/2,z'
'-x+1/2,-y+1/2,-z'
'-x+1/2,y+1/2,-z+1/2'
'x+1/2,-y+1/2,z+1/2'
loop_
_atom_site_label
_atom_site_type_symbol
_atom_site_fract_x
_atom_site_fract_y
_atom_site_fract_z
_atom_site_occupancy
Tm1 Tm 0.000 0.108 0.250 1
Tm2 Tm 0.000 0.375 0.750 1
Tm3 Tm 0.172 0.113 0.884 1
W1 W 0.157 0.341 0.416 1
O1 O 0.079 0.459 0.469 1
O2 O 0.082 0.232 0.578 1
O3 O 0.091 0.014 0.080 1
O4 O 0.096 0.281 0.090 1
O5 O 0.236 0.459 0.361 1
O6 O 0.246 0.282 0.726 1

=====

x.
# Tm2WO6 GGA-PBEsol relaxed
# magnetization = 0.00 μB per atom
data_Tm2WO6
_chemical_formula_sum 'Tm8 W4 O24'
_symmetry_space_group_name_H-M 'P 1 2/c 1'
_symmetry_Int_Tables_number 13
_cell_length_a 7.518
_cell_length_b 5.251
_cell_length_c 11.174
_cell_angle_alpha 90.00
_cell_angle_beta 104.97
_cell_angle_gamma 90.00
loop_
_symmetry_equiv_pos_as_xyz
'x,y,z'
'-x,-y,-z'
'-x,y,-z+1/2'
'x,-y,z+1/2'
loop_
_atom_site_label
_atom_site_type_symbol
_atom_site_fract_x
_atom_site_fract_y
_atom_site_fract_z
_atom_site_occupancy
Tm1 Tm 0.000 0.181 0.250 1
Tm2 Tm 0.296 0.319 0.922 1
Tm3 Tm 0.500 0.239 0.250 1
W1 W 0.222 0.245 0.614 1
O1 O 0.014 0.143 0.886 1
O2 O 0.131 0.346 0.449 1
O3 O 0.213 0.480 0.230 1
O4 O 0.289 0.037 0.774 1
O5 O 0.351 0.033 0.070 1
O6 O 0.439 0.461 0.603 1

=====

Most stable: x (next structure +2.8 kJ/mol of atoms)

=====

w.
# UO3 GGA-PBEsol relaxed
# magnetization = 0.00 μB per atom
data_UO3
_chemical_formula_sum 'U16 O48'
_symmetry_space_group_name_H-M 'I 41/a m d'
_symmetry_Int_Tables_number 141
_cell_length_a 6.900
_cell_length_b 6.900
_cell_length_c 19.614
_cell_angle_alpha 90.00
_cell_angle_beta 90.00
_cell_angle_gamma 90.00
loop_
_symmetry_equiv_pos_as_xyz
'x,y,z'
'-x,-y,-z'
'-y+1/4,x+3/4,z+1/4'
'y+1/4,-x+3/4,-z+1/4'
'-x+1/2,-y,z+1/2'
'x+1/2,y,-z+1/2'
'y+1/4,-x+1/4,z+3/4'
'-y+1/4,x+1/4,-z+3/4'
'x,-y,-z'
'-x,y,z'
'-y+1/4,-x+1/4,-z+3/4'
'y+1/4,x+1/4,z+3/4'
'-x+1/2,y,-z+1/2'
'x+1/2,-y,z+1/2'
'y+1/4,x+3/4,-z+1/4'
'-y+1/4,-x+3/4,z+1/4'
'x+1/2,y+1/2,z+1/2'
'-x+1/2,-y+1/2,-z+1/2'
'-y+3/4,x+1/4,z+3/4'
'y+3/4,-x+1/4,-z+3/4'
'-x,-y+1/2,z'
'x,y+1/2,-z'
'y+3/4,-x+3/4,z+1/4'
'-y+3/4,x+3/4,-z+1/4'
'x+1/2,-y+1/2,-z+1/2'
'-x+1/2,y+1/2,z+1/2'
'-y+3/4,-x+3/4,-z+1/4'
'y+3/4,x+3/4,z+1/4'
'-x,y+1/2,-z'
'x,-y+1/2,z'
'y+3/4,x+1/4,-z+3/4'
'-y+3/4,-x+1/4,z+3/4'
loop_
_atom_site_label
_atom_site_type_symbol
_atom_site_fract_x
_atom_site_fract_y
_atom_site_fract_z
_atom_site_occupancy
U1 U 0.000 0.000 0.000 1
U2 U 0.000 0.250 0.189 1
O1 O 0.000 0.013 0.434 1
O2 O 0.000 0.049 0.095 1
O3 O 0.000 0.059 0.765 1

=====

x.
# UO3 GGA-PBEsol relaxed
# magnetization = 0.00 μB per atom
data_UO3
_chemical_formula_sum 'U1 O3'
_symmetry_space_group_name_H-M 'P m -3 m'
_symmetry_Int_Tables_number 221
_symmetry_space_group_name_Hall '-P 4 2 3'
_cell_length_a 4.127
_cell_length_b 4.127
_cell_length_c 4.127
_cell_angle_alpha 90.00
_cell_angle_beta 90.00
_cell_angle_gamma 90.00
loop_
_atom_site_label
_atom_site_type_symbol
_atom_site_fract_x
_atom_site_fract_y
_atom_site_fract_z
_atom_site_occupancy
U1 U 0.000 0.000 0.000 1
O1 O 0.000 0.000 0.500 1

=====

Most stable: x (next structure +7.9 kJ/mol of atoms)

=====

w.
# Y2W2O9 GGA-PBEsol relaxed
# magnetization = 0.00 μB per atom
data_Y2W2O9
_chemical_formula_sum 'Y8 W8 O36'
_symmetry_space_group_name_H-M 'P b c n'
_symmetry_Int_Tables_number 60
_cell_length_a 23.140
_cell_length_b 5.273
_cell_length_c 5.484
_cell_angle_alpha 90.00
_cell_angle_beta 90.00
_cell_angle_gamma 90.00
loop_
_symmetry_equiv_pos_as_xyz
'x,y,z'
'-x,-y,-z'
'-x+1/2,-y+1/2,z+1/2'
'x+1/2,y+1/2,-z+1/2'
'x+1/2,-y+1/2,-z'
'-x+1/2,y+1/2,z'
'-x,y,-z+1/2'
'x,-y,z+1/2'
loop_
_atom_site_label
_atom_site_type_symbol
_atom_site_fract_x
_atom_site_fract_y
_atom_site_fract_z
_atom_site_occupancy
Y1 Y 0.202 0.223 0.051 1
W1 W 0.076 0.253 0.650 1
O1 O 0.000 0.350 0.750 1
O2 O 0.056 0.056 0.402 1
O3 O 0.100 0.458 0.989 1
O4 O 0.148 0.115 0.703 1
O5 O 0.240 0.497 0.307 1

=====

x.
# Y2W2O9 GGA-PBEsol relaxed
# magnetization = 0.00 μB per atom
data_Y2W2O9
_chemical_formula_sum 'Y4 W4 O18'
_symmetry_space_group_name_H-M 'P -1'
_symmetry_Int_Tables_number 2
_cell_length_a 6.628
_cell_length_b 6.974
_cell_length_c 7.299
_cell_angle_alpha 71.10
_cell_angle_beta 84.36
_cell_angle_gamma 82.69
loop_
_symmetry_equiv_pos_as_xyz
'x,y,z'
'-x,-y,-z'
loop_
_atom_site_label
_atom_site_type_symbol
_atom_site_fract_x
_atom_site_fract_y
_atom_site_fract_z
_atom_site_occupancy
Y1 Y 0.114 0.288 0.377 1
Y2 Y 0.352 0.737 0.843 1
W1 W 0.229 0.264 0.947 1
W2 W 0.341 0.792 0.368 1
O1 O 0.007 0.757 0.905 1
O2 O 0.131 0.642 0.376 1
O3 O 0.176 0.494 0.747 1
O4 O 0.183 0.912 0.544 1
O5 O 0.237 0.055 0.852 1
O6 O 0.317 0.433 0.090 1
O7 O 0.351 0.071 0.220 1
O8 O 0.457 0.305 0.466 1
O9 O 0.463 0.741 0.140 1

=====

y.
# Y2W2O9 GGA-PBEsol relaxed
# magnetization = 0.00 μB per atom
data_Y2W2O9
_chemical_formula_sum 'Y16 W16 O72'
_symmetry_space_group_name_H-M 'C 2 2 21'
_symmetry_Int_Tables_number 20
_cell_length_a 11.584
_cell_length_b 15.386
_cell_length_c 7.090
_cell_angle_alpha 90.00
_cell_angle_beta 90.00
_cell_angle_gamma 90.00
loop_
_symmetry_equiv_pos_as_xyz
'x,y,z'
'-x,-y,z+1/2'
'x,-y,-z'
'-x,y,-z+1/2'
'x+1/2,y+1/2,z'
'-x+1/2,-y+1/2,z+1/2'
'x+1/2,-y+1/2,-z'
'-x+1/2,y+1/2,-z+1/2'
loop_
_atom_site_label
_atom_site_type_symbol
_atom_site_fract_x
_atom_site_fract_y
_atom_site_fract_z
_atom_site_occupancy
Y1 Y 0.000 0.227 0.250 1
Y2 Y 0.000 0.227 0.750 1
Y3 Y 0.234 0.356 0.499 1
W1 W 0.000 0.500 0.250 1
W2 W 0.048 0.000 0.000 1
W3 W 0.231 0.376 0.000 1
O1 O 0.000 0.000 0.250 1
O2 O 0.031 0.121 0.000 1
O3 O 0.060 0.500 0.500 1
O4 O 0.080 0.288 0.500 1
O5 O 0.111 0.413 0.189 1
O6 O 0.111 0.413 0.812 1
O7 O 0.156 0.267 0.000 1
O8 O 0.179 0.149 0.294 1
O9 O 0.179 0.149 0.706 1
O10 O 0.204 0.000 0.000 1
O11 O 0.225 0.000 0.500 1

=====

Most stable: x (next structure +0.9 kJ/mol of atoms)